# 1
A plane-wave DFT calculation with GGA-PBE was carried out for a geometry-optimized NdSmGd2Tl2 structure. Values from VASP.

SG = P-6m2, No. 187
DFT total energy = -4.184 eV/atom

```
&SYSTEM
  ibrav = 0, nat = 6, ntyp = 4
/
ATOMIC_SPECIES
Gd 157.25 Gd.upf
Nd 144.24 Nd.upf
Sm 150.36 Sm.upf
Tl 204.38 Tl.upf
CELL_PARAMETERS angstrom
5.495 0.000 0.000
-2.747 4.759 0.000
0.000 0.000 6.832
ATOMIC_POSITIONS crystal
Gd 0.333 0.667 0.246
Gd 0.333 0.667 0.754
Nd 0.000 0.000 0.500
Sm 0.667 0.333 0.000
Tl 0.000 0.000 0.000
Tl 0.667 0.333 0.500
```

---

# 2
A plane-wave DFT calculation with GGA-PBE was carried out for a geometry-optimized SrLuSc structure. Values from VASP.

SG = F-43m, No. 216
DFT total energy = -3.350 eV/atom
energy above the most stable polymorph in this dataset = 0 meV/atom

```
&SYSTEM
  ibrav = 0, nat = 3, ntyp = 3
/
ATOMIC_SPECIES
Lu 174.97 Lu.upf
Sc 44.96 Sc.upf
Sr 87.62 Sr.upf
CELL_PARAMETERS angstrom
-1.687 -5.179 0.862
-4.546 -1.871 -2.499
0.411 -3.741 -4.031
ATOMIC_POSITIONS crystal
Lu 0.250 0.250 0.250
Sc 0.000 0.000 0.000
Sr 0.750 0.750 0.750
```

---

# 3
A plane-wave DFT calculation with GGA-PBE was carried out for a geometry-optimized Ta3PN2 structure. Values from VASP.

SG = P6_3/mmc, No. 194
DFT total energy = -10.381 eV/atom

```
&SYSTEM
  ibrav = 0, nat = 12, ntyp = 3
/
ATOMIC_SPECIES
N 14.01 N.upf
P 30.97 P.upf
Ta 180.95 Ta.upf
CELL_PARAMETERS angstrom
3.187 0.000 0.000
-1.594 2.760 0.000
0.000 0.000 16.870
ATOMIC_POSITIONS crystal
N 0.333 0.667 0.072
N 0.333 0.667 0.428
N 0.667 0.333 0.572
N 0.667 0.333 0.928
P 0.000 0.000 0.250
P 0.000 0.000 0.750
Ta 0.000 0.000 0.000
Ta 0.667 0.333 0.147
Ta 0.667 0.333 0.353
Ta 0.000 0.000 0.500
Ta 0.333 0.667 0.647
Ta 0.333 0.667 0.853
```

---

# 4
A plane-wave DFT calculation with GGA-PBE was carried out for a geometry-optimized GaFePdPt structure. Values from VASP.

SG = F-43m, No. 216
DFT total energy = -5.881 eV/atom
energy above the most stable polymorph in this dataset = 0 meV/atom

```
&SYSTEM
  ibrav = 0, nat = 4, ntyp = 4
/
ATOMIC_SPECIES
Fe 55.84 Fe.upf
Ga 69.72 Ga.upf
Pd 106.42 Pd.upf
Pt 195.08 Pt.upf
CELL_PARAMETERS angstrom
0.000 3.080 3.080
3.080 0.000 3.080
3.080 3.080 0.000
ATOMIC_POSITIONS crystal
Fe 0.750 0.750 0.750
Ga 0.000 0.000 0.000
Pd 0.250 0.250 0.250
Pt 0.500 0.500 0.500
```

---

# 5
A plane-wave DFT calculation with GGA-PBE was carried out for a geometry-optimized KHoZr structure. Values from VASP.

SG = F-43m, No. 216
DFT total energy = -3.285 eV/atom
energy above the most stable polymorph in this dataset = 0 meV/atom

```
&SYSTEM
  ibrav = 0, nat = 3, ntyp = 3
/
ATOMIC_SPECIES
Ho 164.93 Ho.upf
K 39.10 K.upf
Zr 91.22 Zr.upf
CELL_PARAMETERS angstrom
-4.728 0.230 3.070
-4.442 2.930 -1.876
-4.632 -2.708 -1.746
ATOMIC_POSITIONS crystal
Ho 0.250 0.250 0.250
K 0.750 0.750 0.750
Zr 0.000 0.000 0.000
```

---

# 6
A plane-wave DFT calculation with GGA-PBE was carried out for a geometry-optimized BaHgB structure. Values from VASP.

SG = F-43m, No. 216
DFT total energy = -2.015 eV/atom
energy above the most stable polymorph in this dataset = 359 meV/atom

```
&SYSTEM
  ibrav = 0, nat = 3, ntyp = 3
/
ATOMIC_SPECIES
B 10.81 B.upf
Ba 137.33 Ba.upf
Hg 200.59 Hg.upf
CELL_PARAMETERS angstrom
0.000 3.587 3.587
3.587 0.000 3.587
3.587 3.587 0.000
ATOMIC_POSITIONS crystal
B 0.250 0.250 0.250
Ba 0.750 0.750 0.750
Hg 0.000 0.000 0.000
```

---

Question: Number 6 is which compound?
Answer: BaHgB